# RbNaHf2Ni (SCAN, single point on PBEsol structure)
data_RbNaHf2Ni
_symmetry_space_group_name_H-M 'P 4/m m m'
_symmetry_Int_Tables_number 123
_symmetry_space_group_name_Hall '-P 4 2'
_cell_length_a 5.112
_cell_length_b 5.112
_cell_length_c 4.589
_cell_angle_alpha 90.00
_cell_angle_beta 90.00
_cell_angle_gamma 90.00
loop_
_atom_site_label
_atom_site_type_symbol
_atom_site_fract_x
_atom_site_fract_y
_atom_site_fract_z
Rb1 Rb 0.000 0.000 0.000
Na1 Na 0.500 0.500 0.500
Hf1 Hf 0.000 0.500 0.000
Ni1 Ni 0.000 0.000 0.500
# total energy = -154.74 eV per cell
# DFT formation energy = 2.347 eV per atom